Entry 1:
# BaPtO2

A relaxed structure of BaPtO2 (PBE, OQMD via LeMat-Bulk).

Computed properties:
crystal system: trigonal

Cell lengths 6.447, 6.447, 6.447 Å; angles 38.44, 38.44, 38.44 degrees
Fractional coordinates of all 4 atoms:
Ba (0.000, 0.000, 0.000)
Pt (0.500, 0.500, 0.500)
O (0.396, 0.396, 0.396)
O (0.604, 0.604, 0.604)

Entry 2:
# Ba5Pt2O9

A relaxed structure of Ba5Pt2O9 (PBE, OQMD via LeMat-Bulk).

Computed properties:
crystal system: trigonal

Cell lengths 10.177, 10.177, 8.924 Å; angles 90.00, 90.00, 120.00 degrees
Fractional coordinates of all 48 atoms:
Ba (0.000, 0.000, 0.000)
Ba (0.000, 0.331, 0.500)
Ba (0.000, 0.365, 0.000)
Ba (0.030, 0.696, 0.261)
Ba (0.304, 0.334, 0.261)
Ba (0.331, 0.000, 0.500)
Ba (0.333, 0.667, 0.753)
Ba (0.334, 0.304, 0.739)
Ba (0.365, 0.000, 0.000)
Ba (0.635, 0.635, 0.000)
Ba (0.666, 0.970, 0.261)
Ba (0.667, 0.333, 0.247)
Ba (0.669, 0.669, 0.500)
Ba (0.696, 0.030, 0.739)
Ba (0.970, 0.666, 0.739)
Pt (0.000, 0.000, 0.345)
Pt (0.000, 0.000, 0.655)
Pt (0.333, 0.667, 0.098)
Pt (0.333, 0.667, 0.408)
Pt (0.667, 0.333, 0.592)
Pt (0.667, 0.333, 0.902)
O (0.000, 0.850, 0.500)
O (0.007, 0.177, 0.780)
O (0.150, 0.150, 0.500)
O (0.169, 0.993, 0.780)
O (0.171, 0.520, 0.253)
O (0.172, 0.685, 0.973)
O (0.173, 0.680, 0.534)
O (0.177, 0.007, 0.220)
O (0.315, 0.487, 0.973)
O (0.320, 0.493, 0.534)
O (0.349, 0.829, 0.253)
O (0.480, 0.651, 0.253)
O (0.487, 0.315, 0.027)
O (0.493, 0.320, 0.466)
O (0.507, 0.827, 0.534)
O (0.513, 0.828, 0.973)
O (0.520, 0.171, 0.747)
O (0.651, 0.480, 0.747)
O (0.680, 0.173, 0.466)
O (0.685, 0.172, 0.027)
O (0.823, 0.831, 0.780)
O (0.827, 0.507, 0.466)
O (0.828, 0.513, 0.027)
O (0.829, 0.349, 0.747)
O (0.831, 0.823, 0.220)
O (0.850, 0.000, 0.500)
O (0.993, 0.169, 0.220)

Entry 3:
# BaPt2O6

A relaxed structure of BaPt2O6 (PBE, OQMD via LeMat-Bulk).

Computed properties:
crystal system: trigonal

Cell lengths 5.329, 5.329, 5.609 Å; angles 90.00, 90.00, 120.00 degrees
Fractional coordinates of all 9 atoms:
Ba (0.000, 0.000, 0.000)
Pt (0.333, 0.667, 0.500)
Pt (0.667, 0.333, 0.500)
O (0.000, 0.380, 0.696)
O (0.000, 0.620, 0.304)
O (0.380, 0.000, 0.696)
O (0.380, 0.380, 0.304)
O (0.620, 0.000, 0.304)
O (0.620, 0.620, 0.696)

Entry 4:
# BaPtSO

A relaxed structure of BaPtSO (PBE, OQMD via LeMat-Bulk).

Computed properties:
crystal system: tetragonal
offset from the most stable computed form: 1.05 eV/f.u.

Cell lengths 4.040, 4.040, 9.964 Å; angles 90.00, 90.00, 90.00 degrees
Fractional coordinates of all 8 atoms:
Ba (0.250, 0.250, 0.145)
Ba (0.750, 0.750, 0.855)
Pt (0.250, 0.750, 0.500)
Pt (0.750, 0.250, 0.500)
S (0.250, 0.250, 0.637)
S (0.750, 0.750, 0.363)
O (0.250, 0.250, 0.892)
O (0.750, 0.750, 0.108)

Which total magnetization belongs to each record? In order, 0.50; 0.00; 0.18; 0.00 μB/atom.
Which ρ belongs to each record? In order, 6.50; 7.60; 7.51; 7.77 g/cm³.
Which DFT total energy belongs to each record? In order, -5.90; -6.05; -5.87; -5.35 eV/atom.